(P)
First-principles (PBE) data for a geometry-optimized ScZnSbI2 structure, as listed in Alexandria.

Theoretical density (Mg/m³): 4.36

Cell lengths 5.6569, 5.6569, 5.7834 Å; angles 90.00, 90.00, 90.00 degrees
Last column: nearest neighbours and their distance in Å.
Space group P4/mmm (No. 123)
Unique sites:
Sc 0.0000 0.0000 0.0000 x1  4 I 2.83, 2 Sb 2.89
Zn 0.5000 0.5000 0.5000 x1  4 Sb 4.00, 8 I 4.05
Sb 0.0000 0.0000 0.5000 x1  2 Sc 2.89
I 0.0000 0.5000 0.0000 x2  2 Sc 2.83

(Q)
First-principles (PBE) data for a geometry-optimized ScZnSbI2 structure, as listed in Alexandria.

Theoretical density (Mg/m³): 5.07

Cell lengths 5.4081, 5.4081, 5.4423 Å; angles 90.00, 90.00, 90.00 degrees
Last column: nearest neighbours and their distance in Å.
Space group P4/mmm (No. 123)
Unique sites:
Sc 0.0000 0.0000 0.0000 x1  4 Sb 3.82, 8 I 3.84
Zn 0.5000 0.5000 0.5000 x1  4 I 2.70, 2 Sb 2.72
Sb 0.5000 0.5000 0.0000 x1  2 Zn 2.72
I 0.0000 0.5000 0.5000 x2  2 Zn 2.70

Which of them is most stable? Easy: (P).

(P)
First-principles (PBE) data for a geometry-optimized SbSeI2 structure, as listed in Alexandria.

Theoretical density (Mg/m³): 6.59

Cell lengths 7.7091, 7.7091, 7.7091 Å; angles 90.00, 90.00, 90.00 degrees
Last column: nearest neighbours and their distance in Å.
Space group Fm-3m (No. 225)
Unique sites:
Sb 0.0000 0.0000 0.0000 x4  8 I 3.34
Se 0.0000 0.0000 0.5000 x4  8 I 3.34
I 0.2500 0.2500 0.2500 x8  4 Se 3.34, 4 Sb 3.34

(Q)
First-principles (PBE) data for a geometry-optimized SbSeI2 structure, as listed in Alexandria.

Theoretical density (Mg/m³): 4.49

Cell lengths 11.1404, 11.1404, 5.4237 Å; angles 90.00, 90.00, 90.00 degrees
Last column: nearest neighbours and their distance in Å.
Space group I-42d (No. 122)
Unique sites:
Sb 0.0000 0.0000 0.0000 x4  2 Se 2.71
Se 0.0000 0.0000 0.5000 x4  2 Sb 2.71
I 0.1055 0.2500 0.1250 x8  2 Sb 3.10

Which of them is most stable? Easy: (Q).

(P)
First-principles (PBE) data for a geometry-optimized Sb2Se2I structure, as listed in Alexandria.

Theoretical density (Mg/m³): 5.69

Cell lengths 5.0329, 5.0329, 12.1700 Å; angles 90.00, 90.00, 90.00 degrees
Last column: nearest neighbours and their distance in Å.
Space group I4/mmm (No. 139)
Unique sites:
Sb 0.0000 0.0000 0.1444 x4  4 Se 2.83
Se 0.0000 0.5000 0.2500 x4  4 Sb 2.83
I 0.0000 0.0000 0.5000 x2  8 Se 3.95, 10 Sb 3.97-4.33

(Q)
First-principles (PBE) data for a geometry-optimized Sb2Se2I structure, as listed in Alexandria.

Theoretical density (Mg/m³): 5.64

Cell lengths 9.3904, 9.3904, 3.5291 Å; angles 90.00, 90.00, 90.00 degrees
Last column: nearest neighbours and their distance in Å.
Space group P4/mbm (No. 127)
Unique sites:
Sb 0.1087 0.3913 0.0000 x4  1 Sb 2.89, 4 Se 2.92
Se 0.1378 0.6378 0.5000 x4  4 Sb 2.92
I 0.0000 0.0000 0.5000 x2  2 I 3.53, 4 Se 3.64

(R)
First-principles (PBE) data for a geometry-optimized Sb2Se2I structure, as listed in Alexandria.

Theoretical density (Mg/m³): 5.20

Cell lengths 13.6384, 6.4101, 7.8904 Å; angles 90.00, 101.89, 90.00 degrees
Last column: nearest neighbours and their distance in Å.
Space group C2/c (No. 15)
Unique sites:
Sb 0.1976 0.0380 0.0632 x8  3 Se 2.71-2.95
Se 0.1701 0.4101 0.6280 x8  3 Sb 2.71-2.95
I 0.0000 0.0954 0.2500 x4  4 Sb 3.35-3.37

Which of them is most stable? Easy: (R).